1.
# ZnTcIrSe2 PBE-GGA relaxed
data_ZnTcIrSe2
_symmetry_space_group_name_H-M 'P 4/m m m'
_symmetry_Int_Tables_number 123
_symmetry_space_group_name_Hall '-P 4 2'
_cell_length_a 4.6501
_cell_length_b 4.6501
_cell_length_c 4.7739
_cell_angle_alpha 90.00
_cell_angle_beta 90.00
_cell_angle_gamma 90.00
loop_
_atom_site_label
_atom_site_type_symbol
_atom_site_fract_x
_atom_site_fract_y
_atom_site_fract_z
_atom_site_occupancy
Zn1 Zn 0.0000 0.0000 0.0000 1
Tc1 Tc 0.0000 0.0000 0.5000 1
Ir1 Ir 0.5000 0.5000 0.5000 1
Se1 Se 0.0000 0.5000 0.0000 1
# Total moment ... 3.261 μB per cell
# Energy relative to the elements, uncorrected ... 1.54 eV per atom
# Density ... 8.26 g cm⁻³

2.
# TaAsIr PBE-GGA relaxed
data_TaAsIr
_symmetry_space_group_name_H-M 'I 4 m m'
_symmetry_Int_Tables_number 107
_symmetry_space_group_name_Hall 'I 4 -2'
_cell_length_a 3.0055
_cell_length_b 3.0055
_cell_length_c 10.6837
_cell_angle_alpha 90.00
_cell_angle_beta 90.00
_cell_angle_gamma 90.00
loop_
_atom_site_label
_atom_site_type_symbol
_atom_site_fract_x
_atom_site_fract_y
_atom_site_fract_z
_atom_site_occupancy
Ta1 Ta 0.0000 0.0000 0.0000 1
As1 As 0.0000 0.0000 0.3321 1
Ir1 Ir 0.0000 0.0000 0.6679 1
# Total moment ... 0.000 μB per cell
# Electronic total energy ... -8.642 eV/atom
# Density ... 15.42 g cm⁻³

3.
# YMgB PBE-GGA relaxed
data_YMgB
_symmetry_space_group_name_H-M 'C 1 2/m 1'
_symmetry_Int_Tables_number 12
_symmetry_space_group_name_Hall '-C 2y'
_cell_length_a 13.2158
_cell_length_b 3.1849
_cell_length_c 5.6714
_cell_angle_alpha 90.00
_cell_angle_beta 98.82
_cell_angle_gamma 90.00
loop_
_atom_site_label
_atom_site_type_symbol
_atom_site_fract_x
_atom_site_fract_y
_atom_site_fract_z
_atom_site_occupancy
Y1 Y 0.0830 0.0000 0.2809 1
Mg1 Mg 0.1590 0.5000 0.8063 1
B1 B 0.2362 0.5000 0.4518 1
# Total moment ... 0.000 μB per cell
# ΔE to the lowest computed polymorph ... 122.6 meV/atom
# Density ... 3.49 g cm⁻³

4.
# Sm8AgGe3Te4 PBE-GGA relaxed
data_Sm8AgGe3Te4
_symmetry_space_group_name_H-M 'R -3 m'
_symmetry_Int_Tables_number 166
_symmetry_space_group_name_Hall '-R 3 2"'
_cell_length_a 8.6803
_cell_length_b 8.6803
_cell_length_c 21.6671
_cell_angle_alpha 90.00
_cell_angle_beta 90.00
_cell_angle_gamma 120.00
loop_
_atom_site_label
_atom_site_type_symbol
_atom_site_fract_x
_atom_site_fract_y
_atom_site_fract_z
_atom_site_occupancy
Sm1 Sm 0.0000 0.0000 0.2408 1
Sm2 Sm 0.0120 0.5060 0.7565 1
Ag1 Ag 0.0000 0.0000 0.5000 1
Ge1 Ge 0.0000 0.5000 0.5000 1
Te1 Te 0.0000 0.0000 0.0000 1
Te2 Te 0.0000 0.5000 0.0000 1
# Total moment ... 0.000 μB per cell
# Energy relative to the elements, uncorrected ... -1.09 eV per atom
# Density ... 7.18 g cm⁻³